(1)
A plane-wave DFT calculation with PBE was carried out for an optimized crystal structure of LaI2N2.

The electronic total energy is -3.763 eV per atom. For the spin magnetization, the calculation gives 0.00 μB per formula unit. As for the excess energy over the best structure of this formula in the dataset: 457.2 meV/atom. The uncorrected formation energy comes out at 1.173 eV per atom.

It has space group P4/mmm (No. 123), with a = 4.408 Å, b = 4.408 Å, c = 6.034 Å, α = 90.00°, β = 90.00° and γ = 90.00°. The asymmetric unit holds La at (0.000, 0.000, 0.000), I at (0.500, 0.500, 0.000), I at (0.500, 0.500, 0.500) and N at (0.000, 0.500, 0.500).

(2)
A plane-wave DFT calculation with PBE was carried out for an optimized crystal structure of La3I3N2.

The electronic total energy is -6.018 eV per atom. For the spin magnetization, the calculation gives 0.00 μB per formula unit. The uncorrected formation energy comes out at -1.507 eV per atom.

It has space group Cmcm (No. 63), with a = 4.197 Å, b = 17.841 Å, c = 14.069 Å, α = 90.00°, β = 90.00° and γ = 90.00°. The asymmetric unit holds La at (0.000, 0.173, 0.030), La at (0.000, 0.230, 0.750), I at (0.000, 0.121, 0.250), I at (0.000, 0.413, 0.119) and N at (0.000, 0.266, 0.587).

(3)
A plane-wave DFT calculation with PBE was carried out for an optimized crystal structure of La3IN2.

The electronic total energy is -6.689 eV per atom. For the spin magnetization, the calculation gives 0.02 μB per formula unit. As for the excess energy over the best structure of this formula in the dataset: 56.0 meV/atom. The uncorrected formation energy comes out at -1.192 eV per atom.

It has space group Cmcm (No. 63), with a = 17.501 Å, b = 7.810 Å, c = 6.190 Å, α = 90.00°, β = 90.00° and γ = 90.00°. The asymmetric unit holds La at (0.000, 0.144, 0.250), La at (0.157, 0.150, 0.750), I at (0.000, 0.383, 0.750) and N at (0.091, 0.000, 0.000).

(4)
A plane-wave DFT calculation with PBE was carried out for an optimized crystal structure of LaI2N.

The electronic total energy is -3.975 eV per atom. For the spin magnetization, the calculation gives 2.00 μB per formula unit. As for the excess energy over the best structure of this formula in the dataset: 0.0 meV/atom. The uncorrected formation energy comes out at 0.113 eV per atom.

It has space group Fm-3m (No. 225), with a = 7.713 Å, b = 7.713 Å, c = 7.713 Å, α = 90.00°, β = 90.00° and γ = 90.00°. The asymmetric unit holds La at (0.000, 0.000, 0.000), I at (0.250, 0.250, 0.250) and N at (0.000, 0.000, 0.500).

(5)
A plane-wave DFT calculation with PBE was carried out for an optimized crystal structure of La2I2N.

The electronic total energy is -5.780 eV per atom. For the spin magnetization, the calculation gives 0.00 μB per formula unit. As for the excess energy over the best structure of this formula in the dataset: 0.0 meV/atom. The uncorrected formation energy comes out at -1.524 eV per atom.

It has space group C2/m (No. 12), with a = 15.236 Å, b = 4.073 Å, c = 12.660 Å, α = 90.00°, β = 126.88° and γ = 90.00°. The asymmetric unit holds La at (0.040, 0.000, 0.184), La at (0.193, 0.000, 0.565), I at (0.039, 0.500, 0.675), I at (0.156, 0.500, 0.085) and N at (0.203, 0.000, 0.385).

(6)
A plane-wave DFT calculation with PBE was carried out for an optimized crystal structure of La3I3N.

The electronic total energy is -5.317 eV per atom. For the spin magnetization, the calculation gives 0.00 μB per formula unit. The uncorrected formation energy comes out at -1.351 eV per atom.

It has space group P2_1/m (No. 11), with a = 9.032 Å, b = 4.061 Å, c = 12.300 Å, α = 90.00°, β = 92.43° and γ = 90.00°. The asymmetric unit holds La at (0.085, 0.250, 0.403), La at (0.114, 0.250, 0.813), La at (0.299, 0.750, 0.616), I at (0.147, 0.250, 0.124), I at (0.381, 0.750, 0.875), I at (0.385, 0.750, 0.362) and N at (0.114, 0.250, 0.612).

(7)
A plane-wave DFT calculation with PBE was carried out for an optimized crystal structure of LaI4N2.

The electronic total energy is -3.896 eV per atom. For the spin magnetization, the calculation gives 0.00 μB per formula unit. The uncorrected formation energy comes out at 0.073 eV per atom.

It has space group P-1 (No. 2), with a = 3.999 Å, b = 8.246 Å, c = 8.262 Å, α = 88.39°, β = 89.30° and γ = 75.99°. The asymmetric unit holds La at (0.000, 0.000, 0.000), I at (0.336, 0.340, 0.768), I at (0.406, 0.176, 0.246) and N at (0.125, 0.741, 0.174).

(8)
A plane-wave DFT calculation with PBE was carried out for an optimized crystal structure of LaIN.

The electronic total energy is -5.658 eV per atom. For the spin magnetization, the calculation gives 0.25 μB per formula unit. The uncorrected formation energy comes out at -0.724 eV per atom.

It has space group Pnma (No. 62), with a = 11.862 Å, b = 4.626 Å, c = 7.797 Å, α = 90.00°, β = 90.00° and γ = 90.00°. The asymmetric unit holds La at (0.082, 0.250, 0.204), I at (0.153, 0.750, 0.536) and N at (0.000, 0.000, 0.000).

Among the records above, which one has the highest electronic total energy? LaI2N2